#1
! ZnSnH PBE relaxed; values from VASP
&SYSTEM
  ibrav = 0, nat = 3, ntyp = 3
/
ATOMIC_SPECIES
H 1.01 H.upf
Sn 118.71 Sn.upf
Zn 65.41 Zn.upf
ATOMIC_POSITIONS crystal
H 0.947 0.947 0.894
Sn 0.174 0.174 0.347
Zn 0.730 0.730 0.459
CELL_PARAMETERS angstrom
-0.191 0.499 3.878
0.939 -3.763 0.531
3.581 2.628 -2.137
! Size of the total moment = 0.00 μB/f.u.
! V = 63 Å³ per cell

#2
! ZnSnH PBE relaxed; values from VASP
&SYSTEM
  ibrav = 0, nat = 6, ntyp = 3
/
ATOMIC_SPECIES
Zn 65.41 Zn.upf
H 1.01 H.upf
Sn 118.71 Sn.upf
ATOMIC_POSITIONS crystal
Zn 0.939 0.342 0.002
Zn 0.468 0.752 0.881
H 0.268 0.533 0.407
H 0.291 0.530 0.477
Sn 0.828 0.198 0.724
Sn 0.586 0.894 0.160
CELL_PARAMETERS angstrom
-1.518 2.486 0.949
-1.923 -0.944 -3.476
-5.066 -6.864 6.536
! Size of the total moment = 0.00 μB/f.u.
! V = 129 Å³ per cell

It turns out #2 is the most stable, with the second structure 109 meV per atom higher.

#1
! ZnSnH PBE relaxed; values from VASP
&SYSTEM
  ibrav = 0, nat = 6, ntyp = 3
/
ATOMIC_SPECIES
Zn 65.41 Zn.upf
H 1.01 H.upf
Sn 118.71 Sn.upf
ATOMIC_POSITIONS crystal
Zn 0.894 0.351 0.995
Zn 0.383 0.849 0.122
H 0.338 0.367 0.586
H 0.337 0.362 0.529
Sn 0.910 0.855 0.809
Sn 0.865 0.858 0.308
CELL_PARAMETERS angstrom
-2.440 -1.347 1.107
1.736 -1.687 1.771
-0.958 9.056 9.584
! Size of the total moment = 0.00 μB/f.u.
! V = 119 Å³ per cell

#2
! ZnSnH PBE relaxed; values from VASP
&SYSTEM
  ibrav = 0, nat = 6, ntyp = 3
/
ATOMIC_SPECIES
Sn 118.71 Sn.upf
H 1.01 H.upf
Zn 65.41 Zn.upf
ATOMIC_POSITIONS crystal
Sn 0.851 0.353 0.223
Sn 0.149 0.647 0.777
H 0.479 0.992 0.532
H 0.521 0.008 0.468
Zn 0.277 0.777 0.059
Zn 0.723 0.223 0.941
CELL_PARAMETERS angstrom
3.360 0.088 -0.021
-0.306 3.348 0.000
-1.307 -1.576 10.920
! Size of the total moment = 0.00 μB/f.u.
! V = 123 Å³ per cell

It turns out #1 is the most stable, with the second structure 7 meV per atom higher.

#1
! Zn2SnH PBE relaxed; values from VASP
&SYSTEM
  ibrav = 0, nat = 4, ntyp = 3
/
ATOMIC_SPECIES
H 1.01 H.upf
Zn 65.41 Zn.upf
Sn 118.71 Sn.upf
ATOMIC_POSITIONS crystal
H 0.000 0.000 0.000
Zn 0.250 0.250 0.250
Zn 0.750 0.750 0.750
Sn 0.500 0.500 0.500
CELL_PARAMETERS angstrom
0.000 3.225 3.225
3.225 0.000 3.225
3.225 3.225 0.000
! Size of the total moment = 0.07 μB/f.u.
! V = 67 Å³ per cell

#2
! Zn2SnH PBE relaxed; values from VASP
&SYSTEM
  ibrav = 0, nat = 8, ntyp = 3
/
ATOMIC_SPECIES
Sn 118.71 Sn.upf
Zn 65.41 Zn.upf
H 1.01 H.upf
ATOMIC_POSITIONS crystal
Sn 0.000 0.000 0.000
Sn 0.750 0.250 0.500
Zn 0.301 0.625 0.250
Zn 0.875 0.699 0.750
Zn 0.375 0.551 0.750
Zn 0.449 0.125 0.250
H 0.250 0.750 0.500
H 0.500 0.500 0.000
CELL_PARAMETERS angstrom
4.808 0.000 0.000
0.000 4.808 0.000
2.404 2.404 5.828
! Size of the total moment = 0.00 μB/f.u.
! V = 135 Å³ per cell

It turns out #2 is the most stable, with the second structure 303 meV per atom higher.

#1
! ZnSnH3 PBE relaxed; values from VASP
&SYSTEM
  ibrav = 0, nat = 5, ntyp = 3
/
ATOMIC_SPECIES
H 1.01 H.upf
Sn 118.71 Sn.upf
Zn 65.41 Zn.upf
ATOMIC_POSITIONS crystal
H 0.000 0.000 0.500
H 0.000 0.500 0.000
H 0.500 0.000 0.000
Sn 0.000 0.000 0.000
Zn 0.500 0.500 0.500
CELL_PARAMETERS angstrom
-0.437 -0.074 -4.047
-3.115 -2.593 0.384
-2.584 3.138 0.221
! Size of the total moment = 0.00 μB/f.u.
! V = 67 Å³ per cell

#2
! ZnSnH3 PBE relaxed; values from VASP
&SYSTEM
  ibrav = 0, nat = 5, ntyp = 3
/
ATOMIC_SPECIES
Sn 118.71 Sn.upf
H 1.01 H.upf
Zn 65.41 Zn.upf
ATOMIC_POSITIONS crystal
Sn 0.500 0.500 0.500
H 0.500 0.000 0.000
H 0.000 0.500 0.000
H 0.000 0.000 0.500
Zn 0.000 0.000 0.000
CELL_PARAMETERS angstrom
3.804 0.000 0.000
0.000 3.804 0.000
0.000 0.000 3.804
! Size of the total moment = 0.00 μB/f.u.
! V = 55 Å³ per cell

It turns out #2 is the most stable, with the second structure 46 meV per atom higher.

#1
! ZnSn2H PBE relaxed; values from VASP
&SYSTEM
  ibrav = 0, nat = 8, ntyp = 3
/
ATOMIC_SPECIES
H 1.01 H.upf
Sn 118.71 Sn.upf
Zn 65.41 Zn.upf
ATOMIC_POSITIONS crystal
H 0.250 0.750 0.500
H 0.500 0.500 0.000
Sn 0.375 0.453 0.750
Sn 0.875 0.797 0.750
Sn 0.203 0.625 0.250
Sn 0.547 0.125 0.250
Zn 0.750 0.250 0.500
Zn 0.000 0.000 0.000
CELL_PARAMETERS angstrom
-4.724 -1.352 -0.022
0.284 -1.072 4.787
-4.164 5.553 4.013
! Size of the total moment = 0.00 μB/f.u.
! V = 174 Å³ per cell

#2
! ZnSn2H PBE relaxed; values from VASP
&SYSTEM
  ibrav = 0, nat = 4, ntyp = 3
/
ATOMIC_SPECIES
Sn 118.71 Sn.upf
H 1.01 H.upf
Zn 65.41 Zn.upf
ATOMIC_POSITIONS crystal
Sn 0.750 0.750 0.750
Sn 0.250 0.250 0.250
H 0.000 0.000 0.000
Zn 0.500 0.500 0.500
CELL_PARAMETERS angstrom
1.858 -2.744 3.370
-2.258 -3.920 1.367
1.753 -4.246 -1.110
! Size of the total moment = 0.00 μB/f.u.
! V = 75 Å³ per cell

It turns out #1 is the most stable, with the second structure 15 meV per atom higher.

#1
! ZrSn3H PBE relaxed; values from VASP
&SYSTEM
  ibrav = 0, nat = 5, ntyp = 3
/
ATOMIC_SPECIES
H 1.01 H.upf
Sn 118.71 Sn.upf
Zr 91.22 Zr.upf
ATOMIC_POSITIONS crystal
H 0.000 0.000 0.000
Sn 0.000 0.000 0.500
Sn 0.500 0.000 0.000
Sn 0.000 0.500 0.000
Zr 0.500 0.500 0.500
CELL_PARAMETERS angstrom
4.654 0.000 0.000
0.000 4.654 0.000
0.000 0.000 4.654
! Size of the total moment = 0.00 μB/f.u.
! V = 101 Å³ per cell

#2
! ZrSn3H PBE relaxed; values from VASP
&SYSTEM
  ibrav = 0, nat = 5, ntyp = 3
/
ATOMIC_SPECIES
H 1.01 H.upf
Sn 118.71 Sn.upf
Zr 91.22 Zr.upf
ATOMIC_POSITIONS crystal
H 0.500 0.500 0.500
Sn 0.000 0.500 0.000
Sn 0.500 0.000 0.000
Sn 0.000 0.000 0.500
Zr 0.000 0.000 0.000
CELL_PARAMETERS angstrom
-1.359 -1.395 -5.223
-3.363 -3.999 1.943
-4.233 3.625 0.133
! Size of the total moment = 1.01 μB/f.u.
! V = 173 Å³ per cell

It turns out #1 is the most stable, with the second structure 604 meV per atom higher.

#1
! Zr2SnH PBE relaxed; values from VASP
&SYSTEM
  ibrav = 0, nat = 4, ntyp = 3
/
ATOMIC_SPECIES
Sn 118.71 Sn.upf
Zr 91.22 Zr.upf
H 1.01 H.upf
ATOMIC_POSITIONS crystal
Sn 0.500 0.500 0.500
Zr 0.084 0.084 0.747
Zr 0.916 0.916 0.253
H 0.000 0.000 0.000
CELL_PARAMETERS angstrom
3.842 0.000 0.000
1.921 3.328 0.000
1.921 1.109 7.284
! Size of the total moment = 0.00 μB/f.u.
! V = 93 Å³ per cell

#2
! Zr2SnH PBE relaxed; values from VASP
&SYSTEM
  ibrav = 0, nat = 4, ntyp = 3
/
ATOMIC_SPECIES
Zr 91.22 Zr.upf
Sn 118.71 Sn.upf
H 1.01 H.upf
ATOMIC_POSITIONS crystal
Zr 0.566 0.434 0.435
Zr 0.934 0.065 0.066
Sn 0.750 0.750 0.750
H 0.250 0.250 0.250
CELL_PARAMETERS angstrom
-1.392 -2.647 0.934
3.441 -2.641 2.943
-0.628 0.293 5.196
! Size of the total moment = 0.01 μB/f.u.
! V = 72 Å³ per cell

#3
! Zr2SnH PBE relaxed; values from VASP
&SYSTEM
  ibrav = 0, nat = 8, ntyp = 3
/
ATOMIC_SPECIES
Sn 118.71 Sn.upf
H 1.01 H.upf
Zr 91.22 Zr.upf
ATOMIC_POSITIONS crystal
Sn 0.000 0.000 0.000
Sn 0.750 0.250 0.500
H 0.250 0.750 0.500
H 0.500 0.500 0.000
Zr 0.374 0.125 0.250
Zr 0.875 0.624 0.750
Zr 0.375 0.626 0.750
Zr 0.376 0.625 0.250
CELL_PARAMETERS angstrom
5.671 0.000 0.000
0.000 5.671 0.000
2.836 2.836 5.029
! Size of the total moment = 0.00 μB/f.u.
! V = 162 Å³ per cell

#4
! Zr2SnH PBE relaxed; values from VASP
&SYSTEM
  ibrav = 0, nat = 4, ntyp = 3
/
ATOMIC_SPECIES
Sn 118.71 Sn.upf
Zr 91.22 Zr.upf
H 1.01 H.upf
ATOMIC_POSITIONS crystal
Sn 0.500 0.500 0.500
Zr 0.750 0.750 0.750
Zr 0.250 0.250 0.250
H 0.000 0.000 0.000
CELL_PARAMETERS angstrom
4.025 -2.351 -1.039
2.037 -2.813 3.278
-0.078 -4.744 -0.544
! Size of the total moment = 0.00 μB/f.u.
! V = 77 Å³ per cell

It turns out #2 is the most stable, with the second structure 262 meV per atom higher.

#1
! Zr4Sn2H PBE relaxed; values from VASP
&SYSTEM
  ibrav = 0, nat = 14, ntyp = 3
/
ATOMIC_SPECIES
Zr 91.22 Zr.upf
Sn 118.71 Sn.upf
H 1.01 H.upf
ATOMIC_POSITIONS crystal
Zr 0.107 0.750 0.938
Zr 0.563 0.497 0.283
Zr 0.437 0.503 0.717
Zr 0.877 0.250 0.645
Zr 0.893 0.250 0.062
Zr 0.563 0.003 0.283
Zr 0.123 0.750 0.355
Zr 0.437 0.997 0.717
Sn 0.836 0.750 0.592
Sn 0.316 0.250 0.965
Sn 0.684 0.750 0.035
Sn 0.164 0.250 0.408
H 0.287 0.750 0.193
H 0.713 0.250 0.807
CELL_PARAMETERS angstrom
-5.010 -1.737 1.672
2.293 -5.426 1.231
5.160 3.684 6.628
! Size of the total moment = 0.00 μB/f.u.
! V = 279 Å³ per cell

#2
! Zr4Sn2H PBE relaxed; values from VASP
&SYSTEM
  ibrav = 0, nat = 7, ntyp = 3
/
ATOMIC_SPECIES
H 1.01 H.upf
Zr 91.22 Zr.upf
Sn 118.71 Sn.upf
ATOMIC_POSITIONS crystal
H 0.000 0.000 0.000
Zr 0.500 0.000 0.000
Zr 0.822 0.822 0.356
Zr 0.000 0.500 0.000
Zr 0.178 0.178 0.644
Sn 0.639 0.639 0.723
Sn 0.361 0.361 0.277
CELL_PARAMETERS angstrom
-1.013 -4.053 -0.053
1.614 -0.353 -3.837
7.448 -4.031 1.229
! Size of the total moment = 0.00 μB/f.u.
! V = 140 Å³ per cell

It turns out #2 is the most stable, with the second structure 16 meV per atom higher.

#1
! ZrSn2H PBE relaxed; values from VASP
&SYSTEM
  ibrav = 0, nat = 4, ntyp = 3
/
ATOMIC_SPECIES
Sn 118.71 Sn.upf
H 1.01 H.upf
Zr 91.22 Zr.upf
ATOMIC_POSITIONS crystal
Sn 0.250 0.250 0.250
Sn 0.750 0.750 0.750
H 0.000 0.000 0.000
Zr 0.500 0.500 0.500
CELL_PARAMETERS angstrom
1.538 -4.579 0.957
-3.203 -3.396 1.568
-1.307 -3.707 -2.967
! Size of the total moment = 0.52 μB/f.u.
! V = 84 Å³ per cell

#2
! ZrSn2H PBE relaxed; values from VASP
&SYSTEM
  ibrav = 0, nat = 4, ntyp = 3
/
ATOMIC_SPECIES
Zr 91.22 Zr.upf
Sn 118.71 Sn.upf
H 1.01 H.upf
ATOMIC_POSITIONS crystal
Zr 0.458 0.458 0.625
Sn 0.130 0.130 0.935
Sn 0.132 0.132 0.315
H 0.779 0.779 0.625
CELL_PARAMETERS angstrom
3.514 0.120 -0.389
1.853 2.988 -0.389
0.823 0.477 7.479
! Size of the total moment = 0.00 μB/f.u.
! V = 78 Å³ per cell

It turns out #2 is the most stable, with the second structure 794 meV per atom higher.

#1
! SrTaH2 PBE relaxed; values from VASP
&SYSTEM
  ibrav = 0, nat = 4, ntyp = 3
/
ATOMIC_SPECIES
H 1.01 H.upf
Sr 87.62 Sr.upf
Ta 180.95 Ta.upf
ATOMIC_POSITIONS crystal
H 0.750 0.750 0.750
H 0.250 0.250 0.250
Sr 0.000 0.000 0.000
Ta 0.500 0.500 0.500
CELL_PARAMETERS angstrom
0.000 3.116 3.116
3.116 0.000 3.116
3.116 3.116 0.000
! Size of the total moment = 1.95 μB/f.u.
! V = 60 Å³ per cell

#2
! SrTaH2 PBE relaxed; values from VASP
&SYSTEM
  ibrav = 0, nat = 8, ntyp = 3
/
ATOMIC_SPECIES
Ta 180.95 Ta.upf
Sr 87.62 Sr.upf
H 1.01 H.upf
ATOMIC_POSITIONS crystal
Ta 0.750 0.250 0.500
Ta 0.000 0.000 0.000
Sr 0.250 0.750 0.500
Sr 0.500 0.500 0.000
H 0.042 0.625 0.250
H 0.708 0.125 0.250
H 0.375 0.292 0.750
H 0.875 0.958 0.750
CELL_PARAMETERS angstrom
5.504 0.000 0.000
0.000 5.504 0.000
2.752 2.752 3.885
! Size of the total moment = 0.00 μB/f.u.
! V = 118 Å³ per cell

It turns out #2 is the most stable, with the second structure 940 meV per atom higher.

#1
! Sr2TaH PBE relaxed; values from VASP
&SYSTEM
  ibrav = 0, nat = 4, ntyp = 3
/
ATOMIC_SPECIES
Ta 180.95 Ta.upf
Sr 87.62 Sr.upf
H 1.01 H.upf
ATOMIC_POSITIONS crystal
Ta 0.500 0.500 0.500
Sr 0.250 0.250 0.250
Sr 0.750 0.750 0.750
H 0.000 0.000 0.000
CELL_PARAMETERS angstrom
0.000 3.921 3.921
3.921 0.000 3.921
3.921 3.921 0.000
! Size of the total moment = 4.00 μB/f.u.
! V = 121 Å³ per cell

#2
! Sr2TaH PBE relaxed; values from VASP
&SYSTEM
  ibrav = 0, nat = 8, ntyp = 3
/
ATOMIC_SPECIES
Sr 87.62 Sr.upf
H 1.01 H.upf
Ta 180.95 Ta.upf
ATOMIC_POSITIONS crystal
Sr 0.514 0.125 0.250
Sr 0.375 0.486 0.750
Sr 0.875 0.764 0.750
Sr 0.236 0.625 0.250
H 0.250 0.750 0.500
H 0.500 0.500 0.000
Ta 0.750 0.250 0.500
Ta 0.000 0.000 0.000
CELL_PARAMETERS angstrom
-2.905 6.694 -0.038
-0.061 -0.068 -7.296
-5.071 1.756 -3.623
! Size of the total moment = 0.00 μB/f.u.
! V = 208 Å³ per cell

It turns out #2 is the most stable, with the second structure 336 meV per atom higher.

#1
! SrTa2H PBE relaxed; values from VASP
&SYSTEM
  ibrav = 0, nat = 4, ntyp = 3
/
ATOMIC_SPECIES
Ta 180.95 Ta.upf
Sr 87.62 Sr.upf
H 1.01 H.upf
ATOMIC_POSITIONS crystal
Ta 0.750 0.750 0.750
Ta 0.250 0.250 0.250
Sr 0.500 0.500 0.500
H 0.000 0.000 0.000
CELL_PARAMETERS angstrom
0.000 3.356 3.356
3.356 0.000 3.356
3.356 3.356 0.000
! Size of the total moment = 0.00 μB/f.u.
! V = 76 Å³ per cell

#2
! SrTa2H PBE relaxed; values from VASP
&SYSTEM
  ibrav = 0, nat = 8, ntyp = 3
/
ATOMIC_SPECIES
Ta 180.95 Ta.upf
Sr 87.62 Sr.upf
H 1.01 H.upf
ATOMIC_POSITIONS crystal
Ta 0.375 0.625 0.750
Ta 0.375 0.625 0.250
Ta 0.875 0.625 0.750
Ta 0.375 0.125 0.250
Sr 0.000 0.000 0.000
Sr 0.750 0.250 0.500
H 0.500 0.500 0.000
H 0.250 0.750 0.500
CELL_PARAMETERS angstrom
6.089 0.000 0.000
0.000 6.089 0.000
3.044 3.044 4.303
! Size of the total moment = 0.00 μB/f.u.
! V = 160 Å³ per cell

It turns out #2 is the most stable, with the second structure 1678 meV per atom higher.